Below is crystalline PtSeCl2 at its relaxed geometry, with properties calculated at the PBEsol level.

```
data_PtSeCl2
_chemical_formula_sum 'Pt2 Se2 Cl4'
_space_group_name_H-M_alt 'C 1 m 1'
_space_group_IT_number 8
_space_group_name_Hall 'C -2y'
_cell_length_a 6.5654
_cell_length_b 3.5429
_cell_length_c 7.7573
_cell_angle_alpha 90.00
_cell_angle_beta 103.50
_cell_angle_gamma 90.00
loop_
_atom_site_label
_atom_site_fract_x
_atom_site_fract_y
_atom_site_fract_z
_atom_site_occupancy
Pt1 0.0000 0.0000 0.0000 1
Se1 0.1901 0.5000 0.1803 1
Cl1 0.0251 0.5000 0.4199 1
Cl2 0.3376 0.0000 0.8054 1
```

The uncorrected formation energy is -0.3613 eV per atom. As for the energy above the most stable polymorph in this dataset: 0 meV/atom.



Below is crystalline PtSeCl2 at its relaxed geometry, with properties calculated at the PBEsol level.

```
data_PtSeCl2
_chemical_formula_sum 'Pt2 Se2 Cl4'
_space_group_name_H-M_alt 'I m m 2'
_space_group_IT_number 44
_space_group_name_Hall 'I 2 -2'
_cell_length_a 3.4868
_cell_length_b 4.8322
_cell_length_c 14.0858
_cell_angle_alpha 90.00
_cell_angle_beta 90.00
_cell_angle_gamma 90.00
loop_
_atom_site_label
_atom_site_fract_x
_atom_site_fract_y
_atom_site_fract_z
_atom_site_occupancy
Pt1 0.0000 0.0000 0.0000 1
Se1 0.0000 0.5000 0.6116 1
Cl1 0.0000 0.0000 0.6577 1
Cl2 0.0000 0.5000 0.3872 1
```

The uncorrected formation energy is -0.3018 eV per atom. As for the energy above the most stable polymorph in this dataset: 59 meV/atom.



Below is crystalline SnPt2SeCl at its relaxed geometry, with properties calculated at the PBEsol level.

```
data_SnPt2SeCl
_chemical_formula_sum 'Sn1 Pt2 Se1 Cl1'
_space_group_name_H-M_alt 'P 4/m m m'
_space_group_IT_number 123
_space_group_name_Hall '-P 4 2'
_cell_length_a 4.4756
_cell_length_b 4.4756
_cell_length_c 5.3217
_cell_angle_alpha 90.00
_cell_angle_beta 90.00
_cell_angle_gamma 90.00
loop_
_atom_site_label
_atom_site_fract_x
_atom_site_fract_y
_atom_site_fract_z
_atom_site_occupancy
Sn1 0.0000 0.0000 0.0000 1
Pt1 0.0000 0.5000 0.5000 1
Se1 0.5000 0.5000 0.0000 1
Cl1 0.5000 0.5000 0.5000 1
```

The uncorrected formation energy is 0.7583 eV per atom.



Below is crystalline SiPt2Cl at its relaxed geometry, with properties calculated at the PBEsol level.

```
data_SiPt2Cl
_chemical_formula_sum 'Si2 Pt4 Cl2'
_space_group_name_H-M_alt 'I m m m'
_space_group_IT_number 71
_space_group_name_Hall '-I 2 2'
_cell_length_a 2.8359
_cell_length_b 5.6492
_cell_length_c 8.2930
_cell_angle_alpha 90.00
_cell_angle_beta 90.00
_cell_angle_gamma 90.00
loop_
_atom_site_label
_atom_site_fract_x
_atom_site_fract_y
_atom_site_fract_z
_atom_site_occupancy
Si1 0.0000 0.0000 0.0000 1
Pt1 0.0000 0.5000 0.2770 1
Cl1 0.0000 0.0000 0.5000 1
```

The uncorrected formation energy is -0.0799 eV per atom. As for the energy above the most stable polymorph in this dataset: 0 meV/atom.



Below is crystalline SiPtCl2 at its relaxed geometry, with properties calculated at the PBEsol level.

```
data_SiPtCl2
_chemical_formula_sum 'Si4 Pt4 Cl8'
_space_group_name_H-M_alt 'F -4 3 m'
_space_group_IT_number 216
_space_group_name_Hall 'F -4 2 3'
_cell_length_a 6.3878
_cell_length_b 6.3878
_cell_length_c 6.3878
_cell_angle_alpha 90.00
_cell_angle_beta 90.00
_cell_angle_gamma 90.00
loop_
_atom_site_label
_atom_site_fract_x
_atom_site_fract_y
_atom_site_fract_z
_atom_site_occupancy
Si1 0.0000 0.0000 0.0000 1
Pt1 0.2500 0.2500 0.2500 1
Cl1 0.0000 0.0000 0.5000 1
Cl2 0.2500 0.2500 0.7500 1
```

The uncorrected formation energy is 0.3087 eV per atom. As for the energy above the most stable polymorph in this dataset: 827 meV/atom.



Below is crystalline SiPtCl2 at its relaxed geometry, with properties calculated at the PBEsol level.

```
data_SiPtCl2
_chemical_formula_sum 'Si1 Pt1 Cl2'
_space_group_name_H-M_alt 'P m m 2'
_space_group_IT_number 25
_space_group_name_Hall 'P 2 -2'
_cell_length_a 2.9050
_cell_length_b 3.2180
_cell_length_c 8.4116
_cell_angle_alpha 90.00
_cell_angle_beta 90.00
_cell_angle_gamma 90.00
loop_
_atom_site_label
_atom_site_fract_x
_atom_site_fract_y
_atom_site_fract_z
_atom_site_occupancy
Si1 0.0000 0.0000 0.0000 1
Pt1 0.5000 0.5000 0.1337 1
Cl1 0.0000 0.0000 0.7610 1
Cl2 0.5000 0.5000 0.4199 1
```

The uncorrected formation energy is -0.5185 eV per atom. As for the energy above the most stable polymorph in this dataset: 0 meV/atom.



Below is crystalline SiPt2Cl at its relaxed geometry, with properties calculated at the PBEsol level.

```
data_SiPt2Cl
_chemical_formula_sum 'Si1 Pt2 Cl1'
_space_group_name_H-M_alt 'P m m 2'
_space_group_IT_number 25
_space_group_name_Hall 'P 2 -2'
_cell_length_a 3.2200
_cell_length_b 3.3284
_cell_length_c 6.5110
_cell_angle_alpha 90.00
_cell_angle_beta 90.00
_cell_angle_gamma 90.00
loop_
_atom_site_label
_atom_site_fract_x
_atom_site_fract_y
_atom_site_fract_z
_atom_site_occupancy
Si1 0.0000 0.0000 0.0000 1
Pt1 0.0000 0.0000 0.6411 1
Pt2 0.5000 0.5000 0.8944 1
Cl1 0.5000 0.5000 0.3996 1
```

The uncorrected formation energy is 0.0413 eV per atom. As for the energy above the most stable polymorph in this dataset: 121 meV/atom.



Below is crystalline SiPtCl3 at its relaxed geometry, with properties calculated at the PBEsol level.

```
data_SiPtCl3
_chemical_formula_sum 'Si1 Pt1 Cl3'
_space_group_name_H-M_alt 'P m -3 m'
_space_group_IT_number 221
_space_group_name_Hall '-P 4 2 3'
_cell_length_a 4.6606
_cell_length_b 4.6606
_cell_length_c 4.6606
_cell_angle_alpha 90.00
_cell_angle_beta 90.00
_cell_angle_gamma 90.00
loop_
_atom_site_label
_atom_site_fract_x
_atom_site_fract_y
_atom_site_fract_z
_atom_site_occupancy
Si1 0.0000 0.0000 0.0000 1
Pt1 0.5000 0.5000 0.5000 1
Cl1 0.0000 0.0000 0.5000 1
```

The uncorrected formation energy is 0.4321 eV per atom.



Below is crystalline SiPtCl2 at its relaxed geometry, with properties calculated at the PBEsol level.

```
data_SiPtCl2
_chemical_formula_sum 'Si2 Pt2 Cl4'
_space_group_name_H-M_alt 'C 1 m 1'
_space_group_IT_number 8
_space_group_name_Hall 'C -2y'
_cell_length_a 11.8808
_cell_length_b 3.0196
_cell_length_c 5.5476
_cell_angle_alpha 90.00
_cell_angle_beta 112.12
_cell_angle_gamma 90.00
loop_
_atom_site_label
_atom_site_fract_x
_atom_site_fract_y
_atom_site_fract_z
_atom_site_occupancy
Si1 0.0000 0.0000 0.0000 1
Pt1 0.4598 0.0000 0.2624 1
Cl1 0.1605 0.0000 0.9446 1
Cl2 0.3952 0.0000 0.6266 1
```

The uncorrected formation energy is -0.4775 eV per atom. As for the energy above the most stable polymorph in this dataset: 41 meV/atom.



Below is crystalline Si2PtCl at its relaxed geometry, with properties calculated at the PBEsol level.

```
data_Si2PtCl
_chemical_formula_sum 'Si4 Pt2 Cl2'
_space_group_name_H-M_alt 'I m m m'
_space_group_IT_number 71
_space_group_name_Hall '-I 2 2'
_cell_length_a 3.2690
_cell_length_b 5.7661
_cell_length_c 7.3977
_cell_angle_alpha 90.00
_cell_angle_beta 90.00
_cell_angle_gamma 90.00
loop_
_atom_site_label
_atom_site_fract_x
_atom_site_fract_y
_atom_site_fract_z
_atom_site_occupancy
Si1 0.0000 0.0000 0.2370 1
Pt1 0.0000 0.5000 0.5000 1
Cl1 0.0000 0.5000 0.0000 1
```

The uncorrected formation energy is 0.2284 eV per atom. As for the energy above the most stable polymorph in this dataset: 456 meV/atom.



Below is crystalline SiPt2Cl at its relaxed geometry, with properties calculated at the PBEsol level.

```
data_SiPt2Cl
_chemical_formula_sum 'Si1 Pt2 Cl1'
_space_group_name_H-M_alt 'P m m m'
_space_group_IT_number 47
_space_group_name_Hall '-P 2 2'
_cell_length_a 2.8149
_cell_length_b 4.1426
_cell_length_c 5.4165
_cell_angle_alpha 90.00
_cell_angle_beta 90.00
_cell_angle_gamma 90.00
loop_
_atom_site_label
_atom_site_fract_x
_atom_site_fract_y
_atom_site_fract_z
_atom_site_occupancy
Si1 0.0000 0.0000 0.0000 1
Pt1 0.0000 0.5000 0.5000 1
Pt2 0.5000 0.5000 0.0000 1
Cl1 0.5000 0.0000 0.5000 1
```

The uncorrected formation energy is 0.1714 eV per atom. As for the energy above the most stable polymorph in this dataset: 251 meV/atom.



Below is crystalline Si2PtCl at its relaxed geometry, with properties calculated at the PBEsol level.

```
data_Si2PtCl
_chemical_formula_sum 'Si6 Pt3 Cl3'
_space_group_name_H-M_alt 'R -3 m'
_space_group_IT_number 166
_space_group_name_Hall '-R 3 2"'
_cell_length_a 3.5133
_cell_length_b 3.5133
_cell_length_c 19.9642
_cell_angle_alpha 90.00
_cell_angle_beta 90.00
_cell_angle_gamma 120.00
loop_
_atom_site_label
_atom_site_fract_x
_atom_site_fract_y
_atom_site_fract_z
_atom_site_occupancy
Si1 0.0000 0.0000 0.2347 1
Pt1 0.0000 0.0000 0.5000 1
Cl1 0.0000 0.0000 0.0000 1
```

The uncorrected formation energy is -0.2274 eV per atom. As for the energy above the most stable polymorph in this dataset: 0 meV/atom.



So what do the calculations give for spin magnetization? Going down the list: 0.00, 0.00, 0.00, 0.00, 0.00, 0.00, 0.00, 0.68, 0.00, 0.00, 0.00, 0.00 μB/f.u..
So what do the calculations give for E? Going down the list: -0.150, -0.147, -0.149, -0.202, -0.142, -0.173, -0.198, -0.122, -0.171, -0.180, -0.193, -0.196 Ha/atom.
So what do the calculations give for theoretical density? Going down the list: 6.53, 4.83, 9.71, 11.34, 7.49, 6.21, 10.80, 5.41, 5.30, 6.83, 11.93, 6.69 Mg/m³.